Run i
DFT (GGA-PBE) results for a geometry-optimized AlP2O2 structure.

Structure (POSCAR):
```
AlP2O2
1.0
3.450 0.000 0.000
0.000 3.450 0.000
0.000 0.000 6.970
Al P O
1 2 2
Cartesian
0.000 0.000 0.000
0.000 0.000 3.485
1.725 1.725 3.485
0.000 1.725 0.000
1.725 0.000 0.000
```

- DOS at the Fermi energy (states/eV/atom) = 0.771
- symmetry = P4/mmm
- size of the total moment (μB/f.u.) = 0.44
- calculated volume (A^3/atom) = 16.6

Run ii
DFT (GGA-PBE) results for a geometry-optimized AlP2O2 structure.

Structure (POSCAR):
```
AlP2O2
1.0
3.616 0.000 0.000
0.000 3.616 0.000
0.000 0.000 5.420
Al P O
1 2 2
Cartesian
0.000 0.000 0.000
0.000 1.808 2.710
1.808 0.000 2.710
1.808 1.808 0.000
1.808 1.808 2.710
```

- DOS at the Fermi energy (states/eV/atom) = 0.411
- symmetry = P4/mmm
- size of the total moment (μB/f.u.) = 0.00
- calculated volume (A^3/atom) = 14.2

run i wins, 1140 meV/atom ahead of the next structure.

Run i
DFT (GGA-PBE) results for a geometry-optimized AlP2O6 structure.

Structure (POSCAR):
```
AlP2O6
1.0
4.661 -1.497 0.000
4.661 1.497 0.000
-0.878 0.000 8.070
Al P O
1 2 6
Cartesian
0.000 0.000 0.000
2.627 0.000 2.001
5.818 0.000 6.068
1.260 0.000 1.350
0.944 0.000 5.322
3.757 0.000 0.869
4.688 0.000 7.201
7.501 0.000 2.747
7.185 0.000 6.720
```

- DOS at the Fermi energy (states/eV/atom) = 0.114
- symmetry = C2/m
- size of the total moment (μB/f.u.) = 0.46
- calculated volume (A^3/atom) = 12.5

Run ii
DFT (GGA-PBE) results for a geometry-optimized AlP2O6 structure.

Structure (POSCAR):
```
AlP2O6
1.0
2.476 1.430 5.603
-2.476 1.430 5.603
0.000 -2.859 5.603
Al P O
1 2 6
Cartesian
0.000 0.000 0.000
0.000 0.000 4.505
0.000 0.000 6.707
-0.471 -1.438 6.888
-1.986 -0.004 9.935
-1.010 1.127 6.888
0.997 -1.718 9.935
1.481 0.311 6.888
0.989 1.722 9.935
```

- DOS at the Fermi energy (states/eV/atom) = 0.148
- symmetry = R3
- size of the total moment (μB/f.u.) = 0.97
- calculated volume (A^3/atom) = 13.2

run i wins, 117 meV/atom ahead of the next structure.

Run i
DFT (GGA-PBE) results for a geometry-optimized AlP2PdO structure.

Structure (POSCAR):
```
AlP2PdO
1.0
4.877 0.000 0.000
0.000 4.877 0.000
0.000 0.000 3.326
Al P Pd O
1 2 1 1
Cartesian
0.000 0.000 0.000
0.000 2.438 0.000
2.438 0.000 0.000
2.438 2.438 1.663
0.000 0.000 1.663
```

- DOS at the Fermi energy (states/eV/atom) = 0.932
- symmetry = P4/mmm
- size of the total moment (μB/f.u.) = 0.00
- calculated volume (A^3/atom) = 15.8

Run ii
DFT (GGA-PBE) results for a geometry-optimized AlP2PdO structure.

Structure (POSCAR):
```
AlP2PdO
1.0
4.814 0.000 0.000
0.000 4.814 0.000
0.000 0.000 3.786
Al P Pd O
1 2 1 1
Cartesian
0.000 0.000 0.000
0.000 2.407 1.893
2.407 0.000 1.893
2.407 2.407 1.893
2.407 2.407 0.000
```

- DOS at the Fermi energy (states/eV/atom) = 0.738
- symmetry = P4/mmm
- size of the total moment (μB/f.u.) = 0.79
- calculated volume (A^3/atom) = 17.5

run i wins, 610 meV/atom ahead of the next structure.

Run i
DFT (GGA-PBE) results for a geometry-optimized AlPPdO2 structure.

Structure (POSCAR):
```
AlPPdO2
1.0
3.869 0.000 0.000
0.000 3.869 0.000
0.000 0.000 4.986
Al P Pd O
1 1 1 2
Cartesian
0.000 0.000 0.000
1.934 1.934 0.000
1.934 1.934 2.493
0.000 1.934 2.493
1.934 0.000 2.493
```

- DOS at the Fermi energy (states/eV/atom) = 0.999
- symmetry = P4/mmm
- size of the total moment (μB/f.u.) = 0.91
- calculated volume (A^3/atom) = 14.9

Run ii
DFT (GGA-PBE) results for a geometry-optimized AlPPdO2 structure.

Structure (POSCAR):
```
AlPPdO2
1.0
3.467 0.000 0.000
0.000 3.467 0.000
0.000 0.000 7.030
Al P Pd O
1 1 1 2
Cartesian
0.000 0.000 0.000
0.000 0.000 3.515
1.734 1.734 3.515
0.000 1.734 0.000
1.734 0.000 0.000
```

- DOS at the Fermi energy (states/eV/atom) = 0.945
- symmetry = P4/mmm
- size of the total moment (μB/f.u.) = 0.00
- calculated volume (A^3/atom) = 16.9

run ii wins, 950 meV/atom ahead of the next structure.

Run i
DFT (GGA-PBE) results for a geometry-optimized AlPPtO2 structure.

Structure (POSCAR):
```
AlPPtO2
1.0
3.451 0.000 0.000
0.000 3.451 0.000
0.000 0.000 7.862
Al P Pt O
1 1 1 2
Cartesian
0.000 0.000 0.000
0.000 0.000 3.931
1.726 1.726 3.931
0.000 1.726 0.000
1.726 0.000 0.000
```

- DOS at the Fermi energy (states/eV/atom) = 0.703
- symmetry = P4/mmm
- size of the total moment (μB/f.u.) = 0.33
- calculated volume (A^3/atom) = 18.7

Run ii
DFT (GGA-PBE) results for a geometry-optimized AlPPtO2 structure.

Structure (POSCAR):
```
AlPPtO2
1.0
3.851 0.000 0.000
0.000 3.851 0.000
0.000 0.000 5.122
Al P Pt O
1 1 1 2
Cartesian
0.000 0.000 0.000
1.926 1.926 0.000
1.926 1.926 2.561
0.000 1.926 2.561
1.926 0.000 2.561
```

- DOS at the Fermi energy (states/eV/atom) = 0.891
- symmetry = P4/mmm
- size of the total moment (μB/f.u.) = 0.57
- calculated volume (A^3/atom) = 15.2

run i wins, 898 meV/atom ahead of the next structure.

Run i
DFT (GGA-PBE) results for a geometry-optimized RbAlPO2 structure.

Structure (POSCAR):
```
RbAlPO2
1.0
4.210 0.000 0.000
0.000 4.210 0.000
0.000 0.000 6.565
Rb Al P O
1 1 1 2
Cartesian
0.000 0.000 0.000
2.105 2.105 3.283
0.000 0.000 3.283
0.000 2.105 0.000
2.105 0.000 0.000
```

- DOS at the Fermi energy (states/eV/atom) = 0.488
- symmetry = P4/mmm
- size of the total moment (μB/f.u.) = 1.88
- calculated volume (A^3/atom) = 23.3

Run ii
DFT (GGA-PBE) results for a geometry-optimized RbAlPO2 structure.

Structure (POSCAR):
```
RbAlPO2
1.0
3.990 0.000 0.000
0.000 3.990 0.000
0.000 0.000 4.871
Rb Al P O
1 1 1 2
Cartesian
0.000 0.000 0.000
1.995 1.995 2.435
1.995 1.995 0.000
0.000 1.995 2.435
1.995 0.000 2.435
```

- DOS at the Fermi energy (states/eV/atom) = 0.941
- symmetry = P4/mmm
- size of the total moment (μB/f.u.) = 1.22
- calculated volume (A^3/atom) = 15.5

run ii wins, 1755 meV/atom ahead of the next structure.

Run i
DFT (GGA-PBE) results for a geometry-optimized RbAlP2O structure.

Structure (POSCAR):
```
RbAlP2O
1.0
5.496 0.000 0.000
0.000 5.496 0.000
0.000 0.000 3.428
Rb Al P O
1 1 2 1
Cartesian
0.000 0.000 0.000
2.748 2.748 1.714
0.000 2.748 1.714
2.748 0.000 1.714
2.748 2.748 0.000
```

- DOS at the Fermi energy (states/eV/atom) = 0.885
- symmetry = P4/mmm
- size of the total moment (μB/f.u.) = 0.00
- calculated volume (A^3/atom) = 20.7

Run ii
DFT (GGA-PBE) results for a geometry-optimized RbAlP2O structure.

Structure (POSCAR):
```
RbAlP2O
1.0
5.453 0.000 0.000
0.000 5.453 0.000
0.000 0.000 4.286
Rb Al P O
1 1 2 1
Cartesian
0.000 0.000 0.000
2.727 2.727 2.143
0.000 2.727 0.000
2.727 0.000 0.000
0.000 0.000 2.143
```

- DOS at the Fermi energy (states/eV/atom) = 0.637
- symmetry = P4/mmm
- size of the total moment (μB/f.u.) = 1.22
- calculated volume (A^3/atom) = 25.5

run i wins, 1831 meV/atom ahead of the next structure.

Run i
DFT (GGA-PBE) results for a geometry-optimized AlReP2O structure.

Structure (POSCAR):
```
AlReP2O
1.0
4.788 0.000 0.000
0.000 4.788 0.000
0.000 0.000 3.715
Al Re P O
1 1 2 1
Cartesian
0.000 0.000 0.000
2.394 2.394 1.857
0.000 2.394 1.857
2.394 0.000 1.857
2.394 2.394 0.000
```

- DOS at the Fermi energy (states/eV/atom) = 0.721
- symmetry = P4/mmm
- size of the total moment (μB/f.u.) = 0.00
- calculated volume (A^3/atom) = 17.0

Run ii
DFT (GGA-PBE) results for a geometry-optimized AlReP2O structure.

Structure (POSCAR):
```
AlReP2O
1.0
4.792 0.000 0.000
0.000 4.792 0.000
0.000 0.000 3.282
Al Re P O
1 1 2 1
Cartesian
0.000 0.000 0.000
2.396 2.396 1.641
0.000 2.396 0.000
2.396 0.000 0.000
0.000 0.000 1.641
```

- DOS at the Fermi energy (states/eV/atom) = 0.861
- symmetry = P4/mmm
- size of the total moment (μB/f.u.) = 1.25
- calculated volume (A^3/atom) = 15.1

run i wins, 399 meV/atom ahead of the next structure.

Run i
DFT (GGA-PBE) results for a geometry-optimized AlP2SO structure.

Structure (POSCAR):
```
AlP2SO
1.0
4.637 0.000 0.000
0.000 4.637 0.000
0.000 0.000 4.380
Al P S O
1 2 1 1
Cartesian
0.000 0.000 0.000
0.000 2.319 0.000
2.319 0.000 0.000
0.000 0.000 2.190
2.319 2.319 2.190
```

- DOS at the Fermi energy (states/eV/atom) = 1.245
- symmetry = P4/mmm
- size of the total moment (μB/f.u.) = 0.09
- calculated volume (A^3/atom) = 18.8

Run ii
DFT (GGA-PBE) results for a geometry-optimized AlP2SO structure.

Structure (POSCAR):
```
AlP2SO
1.0
4.856 0.000 0.000
0.000 4.856 0.000
0.000 0.000 3.398
Al P S O
1 2 1 1
Cartesian
0.000 0.000 0.000
0.000 2.428 0.000
2.428 0.000 0.000
2.428 2.428 1.699
0.000 0.000 1.699
```

- DOS at the Fermi energy (states/eV/atom) = 0.773
- symmetry = P4/mmm
- size of the total moment (μB/f.u.) = 0.00
- calculated volume (A^3/atom) = 16.0

run ii wins, 1037 meV/atom ahead of the next structure.

Run i
DFT (GGA-PBE) results for a geometry-optimized AlP2SO structure.

Structure (POSCAR):
```
AlP2SO
1.0
4.002 0.000 0.000
0.000 4.002 0.000
0.000 0.000 4.567
Al P S O
1 2 1 1
Cartesian
0.000 0.000 0.000
0.000 2.001 2.284
2.001 0.000 2.284
2.001 2.001 0.000
2.001 2.001 2.284
```

- DOS at the Fermi energy (states/eV/atom) = 0.368
- symmetry = P4/mmm
- size of the total moment (μB/f.u.) = 0.00
- calculated volume (A^3/atom) = 14.6

Run ii
DFT (GGA-PBE) results for a geometry-optimized AlP2SO structure.

Structure (POSCAR):
```
AlP2SO
1.0
4.669 0.000 0.000
0.000 4.669 0.000
0.000 0.000 3.406
Al P S O
1 2 1 1
Cartesian
0.000 0.000 0.000
0.000 2.335 1.703
2.335 0.000 1.703
2.335 2.335 1.703
2.335 2.335 0.000
```

- DOS at the Fermi energy (states/eV/atom) = 0.579
- symmetry = P4/mmm
- size of the total moment (μB/f.u.) = 0.00
- calculated volume (A^3/atom) = 14.9

run ii wins, 120 meV/atom ahead of the next structure.

Run i
DFT (GGA-PBE) results for a geometry-optimized AlSbPO2 structure.

Structure (POSCAR):
```
AlSbPO2
1.0
3.731 0.000 0.000
0.000 3.731 0.000
0.000 0.000 5.069
Al Sb P O
1 1 1 2
Cartesian
0.000 0.000 0.000
1.865 1.865 2.535
0.000 0.000 2.535
0.000 1.865 0.000
1.865 0.000 0.000
```

- DOS at the Fermi energy (states/eV/atom) = 0.460
- symmetry = P4/mmm
- size of the total moment (μB/f.u.) = 0.20
- calculated volume (A^3/atom) = 14.1

Run ii
DFT (GGA-PBE) results for a geometry-optimized AlSbPO2 structure.

Structure (POSCAR):
```
AlSbPO2
1.0
3.923 0.000 0.000
0.000 3.923 0.000
0.000 0.000 5.295
Al Sb P O
1 1 1 2
Cartesian
0.000 0.000 0.000
1.961 1.961 2.648
1.961 1.961 0.000
0.000 1.961 2.648
1.961 0.000 2.648
```

- DOS at the Fermi energy (states/eV/atom) = 0.181
- symmetry = P4/mmm
- size of the total moment (μB/f.u.) = 0.00
- calculated volume (A^3/atom) = 16.3

run i wins, 428 meV/atom ahead of the next structure.

Run i
DFT (GGA-PBE) results for a geometry-optimized ScAlP2O structure.

Structure (POSCAR):
```
ScAlP2O
1.0
5.143 0.000 0.000
0.000 5.143 0.000
0.000 0.000 3.811
Sc Al P O
1 1 2 1
Cartesian
0.000 0.000 0.000
2.572 2.572 1.906
0.000 2.572 0.000
2.572 0.000 0.000
0.000 0.000 1.906
```

- DOS at the Fermi energy (states/eV/atom) = 0.951
- symmetry = P4/mmm
- size of the total moment (μB/f.u.) = 0.00
- calculated volume (A^3/atom) = 20.2

Run ii
DFT (GGA-PBE) results for a geometry-optimized ScAlP2O structure.

Structure (POSCAR):
```
ScAlP2O
1.0
4.975 0.000 0.000
0.000 4.975 0.000
0.000 0.000 3.371
Sc Al P O
1 1 2 1
Cartesian
0.000 0.000 0.000
2.488 2.488 1.685
0.000 2.488 1.685
2.488 0.000 1.685
2.488 2.488 0.000
```

- DOS at the Fermi energy (states/eV/atom) = 0.721
- symmetry = P4/mmm
- size of the total moment (μB/f.u.) = 0.00
- calculated volume (A^3/atom) = 16.7

run ii wins, 489 meV/atom ahead of the next structure.